Entry 1:
A plane-wave DFT calculation with PBE was carried out for a geometry-optimized TaCuSnOs structure.

a = 4.5244 Å, b = 4.5244 Å, c = 4.5244 Å
α = 60.00°, β = 60.00°, γ = 60.00°
Fractional positions:
Ta 0.0000 0.0000 0.0000
Cu 0.5000 0.5000 0.5000
Sn 0.2500 0.2500 0.2500
Os 0.7500 0.7500 0.7500

Results
As for the energy above the most stable polymorph in this dataset: 233 meV/atom. As for the space group: F-43m.

***

Entry 2:
A plane-wave DFT calculation with PBE was carried out for a geometry-optimized AgAsPb structure.

a = 9.4953 Å, b = 4.7307 Å, c = 6.8506 Å
α = 90.00°, β = 90.00°, γ = 90.00°
Fractional positions:
Ag 0.0498 0.2500 0.0852
Ag 0.4502 0.7500 0.5852
Ag 0.5498 0.2500 0.4148
Ag 0.9502 0.7500 0.9148
As 0.1893 0.7500 0.1304
As 0.3107 0.2500 0.6304
As 0.6893 0.7500 0.3696
As 0.8107 0.2500 0.8696
Pb 0.1334 0.7500 0.5331
Pb 0.3666 0.2500 0.0331
Pb 0.6334 0.7500 0.9669
Pb 0.8666 0.2500 0.4669

Results
As for the energy above the most stable polymorph in this dataset: 49 meV/atom. As for the space group: Pnma.